This record from Alexandria describes a relaxed structure of Pm2Sm3Ga4. The functional is GGA-PBE.

VASP energy (eV per atom): -4.5126
N(E_F) (states/eV/f.u.): 7.60
Theoretical density (g/cm³): 7.02
DFT formation energy (eV/atom): -0.539
Relative energy among the computed polymorphs (meV/atom): 0

a = 8.151 Å, b = 8.162 Å, c = 7.542 Å
α = 90.00°, β = 105.89°, γ = 90.00°
Space group P2_1/c (No. 14)
Symmetry-distinct sites (fractional):
Pm 0.188 0.185 0.073
Sm 0.236 0.674 0.253
Sm 0.500 0.000 0.500
Ga 0.081 0.529 0.866
Ga 0.488 0.123 0.883